A relaxed structure of Li3CrP2O9, computed with GGA+U.

Values from the calculation:
DFT total energy in eV/atom: -6.616
V in Å³ per atom: 11.73
Spin magnetization in μB/atom: 0.06

```
data_Li3CrP2O9
_chemical_formula_sum 'Li6 Cr2 P4 O18'
_cell_length_a 6.8694
_cell_length_b 7.1345
_cell_length_c 7.9363
_cell_angle_alpha 88.67
_cell_angle_beta 64.97
_cell_angle_gamma 87.06
_space_group_name_H-M_alt 'P 1'
_space_group_IT_number 1
loop_
_space_group_symop_operation_xyz
'x,y,z'
loop_
_atom_site_label
_atom_site_type_symbol
_atom_site_fract_x
_atom_site_fract_y
_atom_site_fract_z
Li1 Li 0.0000 0.0000 0.0000
Li2 Li 0.0681 0.2587 0.2979
Li3 Li 0.2128 0.5088 0.6138
Li4 Li 0.4718 0.4455 0.0667
Li5 Li 0.6387 0.0805 0.5579
Li6 Li 0.8268 0.7703 0.8008
Cr1 Cr 0.0682 0.7634 0.3009
Cr2 Cr 0.5620 0.7539 0.3114
P1 P 0.1778 0.0495 0.5554
P2 P 0.4515 0.9990 0.0103
P3 P 0.6895 0.5202 0.6061
P4 P 0.9422 0.4654 0.0605
O1 O 0.0209 0.5585 0.8699
O2 O 0.0584 0.9595 0.7451
O3 O 0.0691 0.9976 0.4237
O4 O 0.0700 0.5291 0.1736
O5 O 0.1887 0.2613 0.5488
O6 O 0.2428 0.8826 0.0658
O7 O 0.2900 0.6669 0.3326
O8 O 0.3874 0.1923 0.0996
O9 O 0.4202 0.9679 0.4696
O10 O 0.5216 0.6083 0.5339
O11 O 0.5756 0.9937 0.8005
O12 O 0.5862 0.5225 0.8164
O13 O 0.6059 0.8892 0.0856
O14 O 0.6957 0.5344 0.1648
O15 O 0.7591 0.3265 0.5152
O16 O 0.8333 0.8433 0.2820
O17 O 0.8856 0.6516 0.5464
O18 O 0.9544 0.2531 0.0709
```